MgGe2Pd7 (PBE, relaxed); E = -48.885 eV for the cell shown; space group = Cmmm; V = 19.417 A^3/atom; ΔH_f (0 K) = -0.171 eV/atom; energy relative to the lowest polymorph listed for this composition = 343 meV/atom
1.0
3.670 -6.047 0.000
3.670 6.047 0.000
0.000 0.000 4.375
Mg Ge Pd
1 2 7
direct
0.000 0.000 0.000
0.301 0.699 0.500
0.699 0.301 0.500
0.068 0.307 0.500
0.219 0.781 0.000
0.307 0.068 0.500
0.500 0.500 0.500
0.693 0.932 0.500
0.781 0.219 0.000
0.932 0.693 0.500